Density functional theory data (PBE) for Ho2InOs after structural relaxation.

Lattice parameters (Å, degrees): 7.0965 7.0965 7.0965 90.00 90.00 90.00
Space group Fm-3m (No. 225)
One atom of each set of equivalent atoms:
Ho (0.2500, 0.2500, 0.2500) (multiplicity 8)
In (0.0000, 0.0000, 0.0000) (multiplicity 4)
Os (0.0000, 0.0000, 0.5000) (multiplicity 4)

Calculated values
Distance to the lowest polymorph of the same formula, eV/atom: 0.124
DOS at the Fermi energy, states/eV/f.u.: 2.715
Total moment, μB per formula unit: 0.00
Electronic total energy, eV per cell: -96.62
Formation enthalpy at 0 K, meV/atom: -258